A relaxed Li2Nd2Mg5Sc crystal. Source: the Alexandria database, functional PBE.

Summary:
electronic total energy	-56.0	eV for the cell shown
ΔH_f (0 K)	-0.3	eV per formula unit

Geometry as CIF:
```
data_Li2Nd2Mg5Sc
_cell_length_a 10.721
_cell_length_b 10.721
_cell_length_c 4.301
_cell_angle_alpha 90.00
_cell_angle_beta 90.00
_cell_angle_gamma 90.00
_symmetry_space_group_name_H-M 'P 4/m b m'
_symmetry_Int_Tables_number 127
_symmetry_space_group_name_Hall '-P 4 2ab'
loop_
_atom_site_label
_atom_site_type_symbol
_atom_site_fract_x
_atom_site_fract_y
_atom_site_fract_z
Li1 Li 0.116 0.384 0.000
Nd1 Nd 0.181 0.681 0.000
Mg1 Mg 0.000 0.500 0.500
Mg2 Mg 0.057 0.207 0.500
Sc1 Sc 0.000 0.000 0.000
```

---

A relaxed LiNd2MgSe4 crystal. Source: the Alexandria database, functional PBE.

Summary:
electronic total energy	-39.5	eV for the cell shown

Geometry as CIF:
```
data_LiNd2MgSe4
_cell_length_a 7.070
_cell_length_b 4.098
_cell_length_c 7.077
_cell_angle_alpha 90.00
_cell_angle_beta 109.11
_cell_angle_gamma 90.00
_symmetry_space_group_name_H-M 'P 1 2/m 1'
_symmetry_Int_Tables_number 10
loop_
_symmetry_equiv_pos_as_xyz
'x,y,z'
'-x,-y,-z'
'-x,y,-z'
'x,-y,z'
loop_
_atom_site_label
_atom_site_type_symbol
_atom_site_fract_x
_atom_site_fract_y
_atom_site_fract_z
Li1 Li 0.000 0.000 0.000
Nd1 Nd 0.500 0.000 0.500
Nd2 Nd 0.500 0.500 0.000
Mg1 Mg 0.000 0.500 0.500
Se1 Se 0.225 0.000 0.741
Se2 Se 0.229 0.500 0.247
```

---

A relaxed LiNdMg2Se4 crystal. Source: the Alexandria database, functional PBE.

Summary:
electronic total energy	-140.5	eV for the cell shown

Geometry as CIF:
```
data_LiNdMg2Se4
_cell_length_a 4.024
_cell_length_b 13.276
_cell_length_c 13.314
_cell_angle_alpha 90.00
_cell_angle_beta 90.00
_cell_angle_gamma 90.00
_symmetry_space_group_name_H-M 'C m c m'
_symmetry_Int_Tables_number 63
_symmetry_space_group_name_Hall '-C 2c 2'
loop_
_atom_site_label
_atom_site_type_symbol
_atom_site_fract_x
_atom_site_fract_y
_atom_site_fract_z
Li1 Li 0.000 0.149 0.250
Nd1 Nd 0.000 0.121 0.750
Mg1 Mg 0.000 0.375 0.557
Se1 Se 0.000 0.000 0.000
Se2 Se 0.000 0.275 0.115
Se3 Se 0.000 0.455 0.750
```

---

A relaxed Li2Nd2SmMg5 crystal. Source: the Alexandria database, functional PBE.

Summary:
electronic total energy	-53.0	eV for the cell shown
ΔH_f (0 K)	-0.5	eV per formula unit

Geometry as CIF:
```
data_Li2Nd2SmMg5
_cell_length_a 10.794
_cell_length_b 10.794
_cell_length_c 4.448
_cell_angle_alpha 90.00
_cell_angle_beta 90.00
_cell_angle_gamma 90.00
_symmetry_space_group_name_H-M 'P 4/m b m'
_symmetry_Int_Tables_number 127
_symmetry_space_group_name_Hall '-P 4 2ab'
loop_
_atom_site_label
_atom_site_type_symbol
_atom_site_fract_x
_atom_site_fract_y
_atom_site_fract_z
Li1 Li 0.114 0.386 0.000
Nd1 Nd 0.181 0.681 0.000
Sm1 Sm 0.000 0.000 0.000
Mg1 Mg 0.000 0.500 0.500
Mg2 Mg 0.061 0.216 0.500
```